## a
Computed, not measured: Nd3SmIn4 after structural relaxation at the PBE level of DFT.

The structure in CIF format:
```
data_Nd3SmIn4
_symmetry_space_group_name_H-M 'P 1'
_symmetry_Int_Tables_number 1
_cell_length_a 3.631
_cell_length_b 7.251
_cell_length_c 10.348
_cell_angle_alpha 110.51
_cell_angle_beta 100.10
_cell_angle_gamma 90.00
loop_
_symmetry_equiv_pos_as_xyz
'x,y,z'
loop_
_atom_site_label
_atom_site_type_symbol
_atom_site_fract_x
_atom_site_fract_y
_atom_site_fract_z
In1 In 0.374 0.583 0.747
In2 In 0.374 0.164 0.747
In3 In 0.626 0.417 0.253
In4 In 0.626 0.836 0.253
Nd1 Nd 0.000 0.500 0.000
Nd2 Nd 0.218 0.218 0.435
Nd3 Nd 0.782 0.782 0.565
Sm1 Sm 0.500 0.000 0.000
```

Calculated values
space group	Immm (71)
N(E_F)	7.81	states/eV/cell

## b
Computed, not measured: Nd3SmIn4 after structural relaxation at the PBE level of DFT.

The structure in CIF format:
```
data_Nd3SmIn4
_symmetry_space_group_name_H-M 'P 1'
_symmetry_Int_Tables_number 1
_cell_length_a 3.864
_cell_length_b 3.864
_cell_length_c 15.468
_cell_angle_alpha 90.00
_cell_angle_beta 90.00
_cell_angle_gamma 90.00
loop_
_symmetry_equiv_pos_as_xyz
'x,y,z'
loop_
_atom_site_label
_atom_site_type_symbol
_atom_site_fract_x
_atom_site_fract_y
_atom_site_fract_z
In1 In 0.000 0.000 0.374
In2 In 0.000 0.000 0.122
In3 In 0.000 0.000 0.878
In4 In 0.000 0.000 0.626
Nd1 Nd 0.500 0.500 0.248
Nd2 Nd 0.500 0.500 0.752
Nd3 Nd 0.500 0.500 0.500
Sm1 Sm 0.500 0.500 0.000
```

Calculated values
space group	P4/mmm (123)
N(E_F)	4.90	states/eV/cell

The winner here is b, beating the second structure by 177 meV/atom.

## a
Computed, not measured: NdSm5In2 after structural relaxation at the PBE level of DFT.

The structure in CIF format:
```
data_NdSm5In2
_symmetry_space_group_name_H-M 'P 1'
_symmetry_Int_Tables_number 1
_cell_length_a 5.365
_cell_length_b 6.635
_cell_length_c 15.817
_cell_angle_alpha 90.00
_cell_angle_beta 90.00
_cell_angle_gamma 113.85
loop_
_symmetry_equiv_pos_as_xyz
'x,y,z'
loop_
_atom_site_label
_atom_site_type_symbol
_atom_site_fract_x
_atom_site_fract_y
_atom_site_fract_z
Nd1 Nd 0.262 0.524 0.250
Nd2 Nd 0.738 0.476 0.750
In1 In 0.221 0.441 0.858
In2 In 0.221 0.441 0.642
In3 In 0.779 0.559 0.142
In4 In 0.779 0.559 0.358
Sm1 Sm 0.542 0.084 0.250
Sm2 Sm 0.358 0.717 0.028
Sm3 Sm 0.960 0.921 0.895
Sm4 Sm 0.960 0.921 0.605
Sm5 Sm 0.458 0.916 0.750
Sm6 Sm 0.040 0.079 0.395
Sm7 Sm 0.040 0.079 0.105
Sm8 Sm 0.642 0.283 0.528
Sm9 Sm 0.642 0.283 0.972
Sm10 Sm 0.358 0.717 0.472
```

Calculated values
space group	Cmcm (63)
N(E_F)	17.90	states/eV/cell

## b
Computed, not measured: NdSm5In2 after structural relaxation at the PBE level of DFT.

The structure in CIF format:
```
data_NdSm5In2
_symmetry_space_group_name_H-M 'P 1'
_symmetry_Int_Tables_number 1
_cell_length_a 4.947
_cell_length_b 6.991
_cell_length_c 13.980
_cell_angle_alpha 90.00
_cell_angle_beta 90.00
_cell_angle_gamma 90.00
loop_
_symmetry_equiv_pos_as_xyz
'x,y,z'
loop_
_atom_site_label
_atom_site_type_symbol
_atom_site_fract_x
_atom_site_fract_y
_atom_site_fract_z
Sm1 Sm 0.000 0.000 0.000
Sm2 Sm 0.500 0.250 0.875
Sm3 Sm 0.000 0.999 0.250
Sm4 Sm 0.000 0.001 0.750
Sm5 Sm 0.500 0.750 0.625
Sm6 Sm 0.500 0.750 0.125
Sm7 Sm 0.000 0.499 0.250
Sm8 Sm 0.000 0.501 0.750
Sm9 Sm 0.000 0.500 0.500
Sm10 Sm 0.500 0.250 0.375
In1 In 0.500 0.252 0.626
In2 In 0.500 0.752 0.874
In3 In 0.500 0.748 0.374
In4 In 0.500 0.248 0.126
Nd1 Nd 0.000 0.500 0.000
Nd2 Nd 0.000 0.000 0.500
```

Calculated values
space group	Pbam (55)
N(E_F)	24.28	states/eV/cell

The winner here is b, beating the second structure by 121 meV/atom.

## a
Computed, not measured: Nd3Sm2In4 after structural relaxation at the PBE level of DFT.

The structure in CIF format:
```
data_Nd3Sm2In4
_symmetry_space_group_name_H-M 'P 1'
_symmetry_Int_Tables_number 1
_cell_length_a 5.427
_cell_length_b 5.422
_cell_length_c 10.453
_cell_angle_alpha 90.06
_cell_angle_beta 90.00
_cell_angle_gamma 59.97
loop_
_symmetry_equiv_pos_as_xyz
'x,y,z'
loop_
_atom_site_label
_atom_site_type_symbol
_atom_site_fract_x
_atom_site_fract_y
_atom_site_fract_z
Nd1 Nd 0.333 0.333 0.422
Nd2 Nd 0.000 0.000 0.000
Nd3 Nd 0.667 0.667 0.578
Sm1 Sm 0.667 0.667 0.220
Sm2 Sm 0.333 0.333 0.780
In1 In 0.000 0.000 0.652
In2 In 0.333 0.333 0.100
In3 In 0.667 0.667 0.900
In4 In 0.000 0.000 0.348
```

Calculated values
space group	C2/m (12)
N(E_F)	9.48	states/eV/cell

## b
Computed, not measured: Nd3Sm2In4 after structural relaxation at the PBE level of DFT.

The structure in CIF format:
```
data_Nd3Sm2In4
_symmetry_space_group_name_H-M 'P 1'
_symmetry_Int_Tables_number 1
_cell_length_a 7.302
_cell_length_b 9.843
_cell_length_c 8.744
_cell_angle_alpha 90.00
_cell_angle_beta 114.68
_cell_angle_gamma 90.00
loop_
_symmetry_equiv_pos_as_xyz
'x,y,z'
loop_
_atom_site_label
_atom_site_type_symbol
_atom_site_fract_x
_atom_site_fract_y
_atom_site_fract_z
Nd1 Nd 0.473 0.250 0.445
Nd2 Nd 0.500 0.500 0.000
Nd3 Nd 0.973 0.250 0.445
Nd4 Nd 0.527 0.750 0.555
Nd5 Nd 0.000 0.000 0.000
Nd6 Nd 0.027 0.750 0.555
Sm1 Sm 0.606 0.951 0.211
Sm2 Sm 0.106 0.549 0.211
Sm3 Sm 0.394 0.049 0.789
Sm4 Sm 0.894 0.451 0.789
In1 In 0.767 0.250 0.033
In2 In 0.233 0.750 0.967
In3 In 0.307 0.479 0.613
In4 In 0.267 0.250 0.033
In5 In 0.693 0.521 0.387
In6 In 0.807 0.021 0.613
In7 In 0.193 0.979 0.387
In8 In 0.733 0.750 0.967
```

Calculated values
space group	Cmce (64)
N(E_F)	11.63	states/eV/cell

The winner here is a, beating the second structure by 148 meV/atom.

## a
Computed, not measured: NdSmIn after structural relaxation at the PBE level of DFT.

The structure in CIF format:
```
data_NdSmIn
_symmetry_space_group_name_H-M 'P 1'
_symmetry_Int_Tables_number 1
_cell_length_a 5.538
_cell_length_b 5.545
_cell_length_c 6.879
_cell_angle_alpha 90.00
_cell_angle_beta 90.00
_cell_angle_gamma 119.96
loop_
_symmetry_equiv_pos_as_xyz
'x,y,z'
loop_
_atom_site_label
_atom_site_type_symbol
_atom_site_fract_x
_atom_site_fract_y
_atom_site_fract_z
Nd1 Nd 0.000 0.000 0.000
Nd2 Nd 0.000 0.000 0.500
In1 In 0.334 0.667 0.250
In2 In 0.666 0.333 0.750
Sm1 Sm 0.667 0.334 0.250
Sm2 Sm 0.333 0.666 0.750
```

Calculated values
space group	Cmcm (63)
N(E_F)	8.21	states/eV/cell

## b
Computed, not measured: NdSmIn after structural relaxation at the PBE level of DFT.

The structure in CIF format:
```
data_NdSmIn
_symmetry_space_group_name_H-M 'P 1'
_symmetry_Int_Tables_number 1
_cell_length_a 3.547
_cell_length_b 3.547
_cell_length_c 15.372
_cell_angle_alpha 96.63
_cell_angle_beta 96.63
_cell_angle_gamma 90.00
loop_
_symmetry_equiv_pos_as_xyz
'x,y,z'
loop_
_atom_site_label
_atom_site_type_symbol
_atom_site_fract_x
_atom_site_fract_y
_atom_site_fract_z
Nd1 Nd 0.440 0.440 0.880
Nd2 Nd 0.560 0.560 0.120
Sm1 Sm 0.704 0.704 0.408
Sm2 Sm 0.296 0.296 0.592
In1 In 0.869 0.869 0.739
In2 In 0.131 0.131 0.261
```

Calculated values
space group	I4/mmm (139)
N(E_F)	5.69	states/eV/cell

The winner here is a, beating the second structure by 122 meV/atom.

## a
Computed, not measured: NdSmIn after structural relaxation at the PBE level of DFT.

The structure in CIF format:
```
data_NdSmIn
_symmetry_space_group_name_H-M 'P 1'
_symmetry_Int_Tables_number 1
_cell_length_a 3.733
_cell_length_b 5.329
_cell_length_c 5.329
_cell_angle_alpha 120.00
_cell_angle_beta 90.00
_cell_angle_gamma 90.00
loop_
_symmetry_equiv_pos_as_xyz
'x,y,z'
loop_
_atom_site_label
_atom_site_type_symbol
_atom_site_fract_x
_atom_site_fract_y
_atom_site_fract_z
In1 In 0.684 0.667 0.333
Nd1 Nd 0.373 0.333 0.667
Sm1 Sm 0.943 0.000 0.000
```

Calculated values
space group	P3m1 (156)
N(E_F)	2.22	states/eV/cell

## b
Computed, not measured: NdSmIn after structural relaxation at the PBE level of DFT.

The structure in CIF format:
```
data_NdSmIn
_symmetry_space_group_name_H-M 'P 1'
_symmetry_Int_Tables_number 1
_cell_length_a 3.640
_cell_length_b 3.640
_cell_length_c 7.508
_cell_angle_alpha 104.03
_cell_angle_beta 104.03
_cell_angle_gamma 90.00
loop_
_symmetry_equiv_pos_as_xyz
'x,y,z'
loop_
_atom_site_label
_atom_site_type_symbol
_atom_site_fract_x
_atom_site_fract_y
_atom_site_fract_z
Sm1 Sm 0.298 0.298 0.595
In1 In 0.948 0.948 0.896
Nd1 Nd 0.604 0.604 0.208
```

Calculated values
space group	I4mm (107)
N(E_F)	3.08	states/eV/cell

The winner here is b, beating the second structure by 46 meV/atom.

## a
Computed, not measured: Nd6SmIn2 after structural relaxation at the PBE level of DFT.

The structure in CIF format:
```
data_Nd6SmIn2
_symmetry_space_group_name_H-M 'P 1'
_symmetry_Int_Tables_number 1
_cell_length_a 3.478
_cell_length_b 10.019
_cell_length_c 10.019
_cell_angle_alpha 56.82
_cell_angle_beta 79.95
_cell_angle_gamma 79.95
loop_
_symmetry_equiv_pos_as_xyz
'x,y,z'
loop_
_atom_site_label
_atom_site_type_symbol
_atom_site_fract_x
_atom_site_fract_y
_atom_site_fract_z
Nd1 Nd 0.500 0.663 0.337
Nd2 Nd 0.672 0.017 0.642
Nd3 Nd 0.672 0.642 0.017
Nd4 Nd 0.500 0.337 0.663
Nd5 Nd 0.328 0.358 0.983
Nd6 Nd 0.328 0.983 0.358
Sm1 Sm 0.000 0.000 0.000
In1 In 0.155 0.347 0.347
In2 In 0.845 0.653 0.653
```

Calculated values
space group	C2/m (12)
N(E_F)	13.13	states/eV/cell

## b
Computed, not measured: Nd6SmIn2 after structural relaxation at the PBE level of DFT.

The structure in CIF format:
```
data_Nd6SmIn2
_symmetry_space_group_name_H-M 'P 1'
_symmetry_Int_Tables_number 1
_cell_length_a 3.876
_cell_length_b 6.860
_cell_length_c 12.044
_cell_angle_alpha 74.69
_cell_angle_beta 80.74
_cell_angle_gamma 73.59
loop_
_symmetry_equiv_pos_as_xyz
'x,y,z'
loop_
_atom_site_label
_atom_site_type_symbol
_atom_site_fract_x
_atom_site_fract_y
_atom_site_fract_z
Nd1 Nd 0.315 0.495 0.876
Nd2 Nd 0.308 0.797 0.588
Nd3 Nd 0.692 0.203 0.412
Nd4 Nd 0.014 0.311 0.661
Nd5 Nd 0.986 0.689 0.339
Nd6 Nd 0.685 0.505 0.124
In1 In 0.642 0.921 0.796
In2 In 0.358 0.079 0.204
Sm1 Sm 0.000 0.000 0.000
```

Calculated values
space group	C2/m (12)
N(E_F)	11.31	states/eV/cell

The winner here is b, beating the second structure by 123 meV/atom.